No. 1
Material: LiTi2PbS
Method: DFT, SCAN
State: single point on PBEsol structure

a b c (Å): 4.7304 4.7304 3.8402
angles (deg): 90.00 90.00 90.00
Fractional coordinates of all 5 atoms:
Li: 0.0000 0.0000 0.0000
Ti: 0.0000 0.5000 0.0000
Ti: 0.5000 0.0000 0.0000
Pb: 0.5000 0.5000 0.5000
S: 0.0000 0.0000 0.5000

Magnetization   0.0 μB/f.u.
Space group   No. 123
Mass density   6.61 g cm⁻³
E_form (uncorrected)   137 kJ/mol of formula units



No. 2
Material: LiSb2Pb
Method: DFT, SCAN
State: single point on PBEsol structure

a b c (Å): 4.0151 4.0151 6.3830
angles (deg): 90.00 90.00 90.00
Fractional coordinates of all 4 atoms:
Li: 0.0000 0.0000 0.0000
Sb: 0.5000 0.5000 0.2213
Sb: 0.5000 0.5000 0.7787
Pb: 0.0000 0.0000 0.5000

Magnetization   0.0 μB/f.u.
Space group   No. 123
Mass density   7.39 g cm⁻³
E_form (uncorrected)   -47 kJ/mol of formula units



No. 3
Material: LiSb2Pb
Method: DFT, SCAN
State: single point on PBEsol structure

a b c (Å): 3.3700 4.3401 6.9228
angles (deg): 90.00 90.00 90.00
Fractional coordinates of all 4 atoms:
Li: 0.0000 0.0000 0.0000
Sb: 0.5000 0.5000 0.2124
Sb: 0.5000 0.5000 0.7876
Pb: 0.0000 0.0000 0.5000

Magnetization   0.0 μB/f.u.
Space group   No. 47
Mass density   7.51 g cm⁻³
E_form (uncorrected)   -49 kJ/mol of formula units



No. 4
Material: Li2Sb2Pb
Method: DFT, SCAN
State: single point on PBEsol structure

a b c (Å): 6.6265 6.6265 6.6265
angles (deg): 139.80 139.80 58.16
Fractional coordinates of all 5 atoms:
Li: 0.2500 0.7500 0.5000
Li: 0.7500 0.2500 0.5000
Sb: 0.1203 0.1203 0.0000
Sb: 0.8797 0.8797 0.0000
Pb: 0.5000 0.5000 0.0000

Magnetization   0.0 μB/f.u.
Distance to the lowest polymorph of the same formula   0.032 eV per atom
Space group   No. 139
Mass density   6.42 g cm⁻³
E_form (uncorrected)   -122 kJ/mol of formula units



No. 5
Material: Li2Sb2Pb
Method: DFT, SCAN
State: single point on PBEsol structure

a b c (Å): 8.5159 8.5159 3.1515
angles (deg): 90.00 90.00 90.00
Fractional coordinates of all 10 atoms:
Li: 0.1168 0.3832 0.0000
Li: 0.3832 0.8832 0.0000
Li: 0.6168 0.1168 0.0000
Li: 0.8832 0.6168 0.0000
Sb: 0.1805 0.6805 0.5000
Sb: 0.3195 0.1805 0.5000
Sb: 0.6805 0.8195 0.5000
Sb: 0.8195 0.3195 0.5000
Pb: 0.0000 0.0000 0.0000
Pb: 0.5000 0.5000 0.0000

Magnetization   0.0 μB/f.u.
Distance to the lowest polymorph of the same formula   0.000 eV per atom
Space group   No. 127
Mass density   6.75 g cm⁻³
E_form (uncorrected)   -138 kJ/mol of formula units



No. 6
Material: LiSbPb
Method: DFT, SCAN
State: single point on PBEsol structure

a b c (Å): 4.7270 4.7270 4.7270
angles (deg): 60.00 60.00 60.00
Fractional coordinates of all 3 atoms:
Li: 0.0000 0.0000 0.0000
Sb: 0.7500 0.7500 0.7500
Pb: 0.2500 0.2500 0.2500

Magnetization   0.0 μB/f.u.
Distance to the lowest polymorph of the same formula   0.000 eV per atom
Space group   No. 216
Mass density   7.47 g cm⁻³
E_form (uncorrected)   -77 kJ/mol of formula units



Which formula does entry 6 have?
LiSbPb